Record 1
{"formula": "Mg2Br", "functional": "GGA-PBE", "state": "relaxed", "polymorph_energy_ev_per_fu": 1.18, "rho_g_cm3": 2.66, "total_energy_ev_per_atom": -1.742, "e_form_raw_ev_per_atom": -0.1213, "cell": [[0.000, 4.311, 4.311], [4.311, 0.000, 4.311], [4.311, 4.311, 0.000]], "species": ["Mg", "Mg", "Mg", "Mg", "Br", "Br"], "fractional_positions": [[0.000, 0.000, 0.000], [0.000, 0.000, 0.500], [0.000, 0.500, 0.000], [0.500, 0.000, 0.000], [0.375, 0.375, 0.375], [0.625, 0.625, 0.625]]}

***

Record 2
{"formula": "Pu8FePt5", "functional": "GGA-PBE", "state": "relaxed", "e_form_ev_per_atom": -0.546, "rho_g_cm3": 15.37, "total_energy_ev_per_atom": -11.498, "cell": [[-4.295, 4.295, 4.369], [4.295, -4.295, 4.369], [4.295, 4.295, -4.369]], "species": ["Pu", "Pu", "Pu", "Pu", "Pu", "Pu", "Pu", "Pu", "Fe", "Pt", "Pt", "Pt", "Pt", "Pt"], "fractional_positions": [[0.125, 0.745, 0.768], [0.126, 0.233, 0.755], [0.255, 0.023, 0.380], [0.478, 0.370, 0.245], [0.630, 0.874, 0.108], [0.644, 0.875, 0.620], [0.767, 0.522, 0.892], [0.977, 0.356, 0.232], [0.000, 0.000, 0.000], [0.259, 0.634, 0.138], [0.366, 0.504, 0.625], [0.496, 0.121, 0.862], [0.750, 0.250, 0.500], [0.879, 0.741, 0.375]]}

***

Record 3
{"formula": "ZrCo2Au2", "functional": "GGA-PBE", "state": "relaxed", "polymorph_energy_ev_per_fu": 0.45, "e_form_ev_per_atom": 0.030, "rho_g_cm3": 11.90, "total_energy_ev_per_atom": -5.833, "cell": [[-1.918, 1.918, 5.716], [1.918, -1.918, 5.716], [1.918, 1.918, -5.716]], "species": ["Zr", "Co", "Co", "Au", "Au"], "fractional_positions": [[0.000, 0.000, 0.000], [0.408, 0.408, 0.000], [0.592, 0.592, 0.000], [0.250, 0.750, 0.500], [0.750, 0.250, 0.500]]}

***

Record 4
{"formula": "PrSm2H", "functional": "GGA-PBE", "state": "relaxed", "polymorph_energy_ev_per_fu": 1.09, "rho_g_cm3": 7.13, "total_energy_ev_per_atom": -4.276, "cell": [[3.429, 0.000, 0.000], [0.000, 3.429, 0.000], [0.000, 0.000, 8.763]], "species": ["Pr", "Sm", "Sm", "H"], "fractional_positions": [[0.000, 0.000, 0.000], [0.500, 0.500, 0.314], [0.500, 0.500, 0.686], [0.000, 0.000, 0.500]]}

***

Record 5
{"formula": "CsLiBeH4", "functional": "GGA-PBE", "state": "relaxed", "rho_g_cm3": 2.37, "total_energy_ev_per_atom": -3.161, "cell": [[4.731, 0.000, 0.000], [0.000, 4.992, 0.000], [-0.474, 0.000, 9.071]], "species": ["Cs", "Cs", "Li", "Li", "Be", "Be", "H", "H", "H", "H", "H", "H", "H", "H"], "fractional_positions": [[0.219, 0.250, 0.319], [0.781, 0.750, 0.681], [0.343, 0.750, 0.017], [0.657, 0.250, 0.983], [0.221, 0.250, 0.813], [0.779, 0.750, 0.187], [0.068, 0.750, 0.147], [0.231, 0.250, 0.654], [0.369, 0.019, 0.874], [0.369, 0.481, 0.874], [0.631, 0.519, 0.126], [0.631, 0.981, 0.126], [0.769, 0.750, 0.346], [0.932, 0.250, 0.853]]}

***

Record 6
{"formula": "CaPm4Sn4", "functional": "GGA-PBE", "state": "relaxed", "e_form_ev_per_atom": -0.496, "rho_g_cm3": 5.77, "total_energy_ev_per_atom": -4.609, "cell": [[9.976, 0.000, 0.000], [0.000, 9.976, 0.000], [0.000, 0.000, 6.331]], "species": ["Ca", "Ca", "Pm", "Pm", "Pm", "Pm", "Pm", "Pm", "Pm", "Pm", "Sn", "Sn", "Sn", "Sn", "Sn", "Sn", "Sn", "Sn"], "fractional_positions": [[0.250, 0.250, 0.250], [0.750, 0.750, 0.750], [0.087, 0.650, 0.129], [0.150, 0.913, 0.629], [0.350, 0.587, 0.629], [0.413, 0.850, 0.129], [0.587, 0.150, 0.871], [0.650, 0.413, 0.371], [0.850, 0.087, 0.371], [0.913, 0.350, 0.871], [0.029, 0.617, 0.634], [0.117, 0.971, 0.134], [0.383, 0.529, 0.134], [0.471, 0.883, 0.634], [0.529, 0.117, 0.366], [0.617, 0.471, 0.866], [0.883, 0.029, 0.866], [0.971, 0.383, 0.366]]}